(1)
VASP calculation (meta-GGA SCAN) on a crystal of Mg2ScW relaxed with PBEsol.

```
data_Mg2ScW
_chemical_formula_sum 'Mg4 Sc2 W2'
_cell_length_a 5.6584
_cell_length_b 10.0342
_cell_length_c 2.8448
_cell_angle_alpha 90.00
_cell_angle_beta 111.34
_cell_angle_gamma 90.00
_space_group_name_H-M_alt 'C 1 2/m 1'
_space_group_IT_number 12
loop_
_space_group_symop_operation_xyz
'x,y,z'
'-x,-y,-z'
'-x,y,-z'
'x,-y,z'
'x+1/2,y+1/2,z'
'-x+1/2,-y+1/2,-z'
'-x+1/2,y+1/2,-z'
'x+1/2,-y+1/2,z'
loop_
_atom_site_label
_atom_site_fract_x
_atom_site_fract_y
_atom_site_fract_z
_atom_site_occupancy
Mg1 0.2500 0.2500 0.0000 1
Sc1 0.0000 0.0000 0.5000 1
W1 0.0000 0.5000 0.5000 1
```

## Properties
Energy relative to the elements = 0.40 eV per atom
E above lowest polymorph = 12 kJ/mol of formula units
Total magnetic moment = 0.000 μB per atom
D(E_F) = 3.01 states/eV/f.u.

=====

(2)
VASP calculation (meta-GGA SCAN) on a crystal of Ir2RhBr relaxed with PBEsol.

```
data_Ir2RhBr
_chemical_formula_sum 'Ir2 Rh1 Br1'
_cell_length_a 2.8575
_cell_length_b 4.7158
_cell_length_c 4.5300
_cell_angle_alpha 90.00
_cell_angle_beta 90.90
_cell_angle_gamma 90.00
_space_group_name_H-M_alt 'P 1 2/m 1'
_space_group_IT_number 10
loop_
_space_group_symop_operation_xyz
'x,y,z'
'-x,-y,-z'
'-x,y,-z'
'x,-y,z'
loop_
_atom_site_label
_atom_site_fract_x
_atom_site_fract_y
_atom_site_fract_z
_atom_site_occupancy
Ir1 0.2340 0.0000 0.2547 1
Rh1 0.0000 0.5000 0.5000 1
Br1 0.5000 0.5000 0.0000 1
```

## Properties
E above lowest polymorph = 105 kJ/mol of formula units
Total magnetic moment = 0.000 μB per atom
D(E_F) = 3.93 states/eV/f.u.
Formation energy from raw total energies = 0.90 eV/atom

=====

(3)
VASP calculation (meta-GGA SCAN) on a crystal of Ca2AlW relaxed with PBEsol.

```
data_Ca2AlW
_chemical_formula_sum 'Ca4 Al2 W2'
_cell_length_a 5.8438
_cell_length_b 9.9497
_cell_length_c 2.9274
_cell_angle_alpha 90.00
_cell_angle_beta 93.60
_cell_angle_gamma 90.00
_space_group_name_H-M_alt 'C 1 2/m 1'
_space_group_IT_number 12
loop_
_space_group_symop_operation_xyz
'x,y,z'
'-x,-y,-z'
'-x,y,-z'
'x,-y,z'
'x+1/2,y+1/2,z'
'-x+1/2,-y+1/2,-z'
'-x+1/2,y+1/2,-z'
'x+1/2,-y+1/2,z'
loop_
_atom_site_label
_atom_site_fract_x
_atom_site_fract_y
_atom_site_fract_z
_atom_site_occupancy
Ca1 0.2500 0.2500 0.0000 1
Al1 0.0000 0.0000 0.5000 1
W1 0.0000 0.5000 0.5000 1
```

## Properties
Energy relative to the elements = 0.71 eV per atom
Total magnetic moment = 0.000 μB per atom
D(E_F) = 3.22 states/eV/f.u.

=====

(4)
VASP calculation (meta-GGA SCAN) on a crystal of USbPd2 relaxed with PBEsol.

```
data_USbPd2
_chemical_formula_sum 'U4 Sb4 Pd8'
_cell_length_a 6.7256
_cell_length_b 6.7256
_cell_length_c 6.7256
_cell_angle_alpha 90.00
_cell_angle_beta 90.00
_cell_angle_gamma 90.00
_space_group_name_H-M_alt 'F m -3 m'
_space_group_IT_number 225
_space_group_name_Hall '-F 4 2 3'
loop_
_atom_site_label
_atom_site_fract_x
_atom_site_fract_y
_atom_site_fract_z
_atom_site_occupancy
U1 0.0000 0.0000 0.0000 1
Sb1 0.0000 0.0000 0.5000 1
Pd1 0.2500 0.2500 0.2500 1
```

## Properties
Total magnetic moment = 0.596 μB per atom
D(E_F) = 8.02 states/eV/f.u.
Formation energy from raw total energies = -0.34 eV/atom

=====

Q: Which of these has the highest D(E_F)?
A: USbPd2